Entry 1:
DFT (GGA-PBE) results for LiSmRh2 after structural relaxation.

Structure (POSCAR):
```
LiSmRh2
1.0
-2.055 0.047 2.633
1.243 -2.927 1.022
4.292 2.974 3.297
Rh Li Sm
2 1 1
Cartesian
0.952 0.660 0.731 Rh
3.340 2.314 2.565 Rh
-0.406 -1.440 1.828 Li
1.740 0.047 3.476 Sm
```

Computed properties:
E_form   -360 meV per atom
Total magnetic moment   0.0 μB/f.u.
Calculated total energy   -5.694 eV per atom

---

Entry 2:
DFT (GGA-PBE) results for LiSmRh after structural relaxation.

Structure (POSCAR):
```
LiSmRh
1.0
3.580 0.000 0.000
0.000 4.363 0.000
0.000 -2.182 3.779
Sm Rh Li
1 1 1
Cartesian
2.386 2.182 1.260 Sm
0.598 0.000 0.000 Rh
0.595 0.000 2.519 Li
```

Computed properties:
E_form   -373 meV per atom
E above lowest polymorph   9.70 kJ per mole of atoms
Total magnetic moment   0.0 μB/f.u.
Calculated total energy   -5.034 eV per atom

---

Entry 3:
DFT (GGA-PBE) results for Li4SmRh2 after structural relaxation.

Structure (POSCAR):
```
Li4SmRh2
1.0
3.971 0.000 0.000
0.000 3.712 -1.102
0.000 0.432 8.255
Sm Li Rh
1 4 2
Cartesian
0.000 0.000 0.000 Sm
0.000 1.484 4.998 Li
1.986 0.840 2.829 Li
0.000 2.660 2.155 Li
1.986 3.304 4.324 Li
1.986 2.231 0.710 Rh
1.986 1.913 6.443 Rh
```

Computed properties:
E_form   -221 meV per atom
Total magnetic moment   0.0 μB/f.u.
Calculated total energy   -4.089 eV per atom

---

Entry 4:
DFT (GGA-PBE) results for LiSmRh after structural relaxation.

Structure (POSCAR):
```
LiSmRh
1.0
-1.217 -1.463 3.020
-1.987 -3.234 -2.367
7.144 -4.795 0.554
Li Sm Rh
2 2 2
Cartesian
1.113 -5.868 1.031 Li
0.723 -3.322 2.106 Li
4.370 -4.631 0.831 Sm
-1.315 -3.099 -0.716 Sm
-1.376 -1.915 1.942 Rh
3.212 -7.278 1.191 Rh
```

Computed properties:
E_form   -397 meV per atom
E above lowest polymorph   7.32 kJ per mole of atoms
Total magnetic moment   0.0 μB/f.u.
Calculated total energy   -5.059 eV per atom